Material: LaTb2Gd
Method: DFT, GGA-PBE
State: relaxed

a b c (Å): 5.1227 5.1227 5.0899
angles (deg): 90.00 90.00 90.00
Space group P4/mmm (No. 123)
Inequivalent atoms, fractional coordinates:
1 La 0.0000 0.0000 0.0000
2 Tb 0.0000 0.5000 0.5000
3 Gd 0.5000 0.5000 0.0000

Computed properties:
E above lowest polymorph   0 meV/atom
E   -7.05 eV/atom
E_form   0.09 eV/f.u.
ρ   7.6 g cm⁻³
N(E_F)   6.6 states/eV/cell



Material: Cs2BaGaBi2
Method: DFT, GGA-PBE
State: relaxed

a b c (Å): 5.1962 10.7235 9.6106
angles (deg): 90.00 90.00 90.00
Space group Pmc2_1 (No. 26)
Inequivalent atoms, fractional coordinates:
1 Cs 0.0000 0.1027 0.0000
2 Cs 0.5000 0.1636 0.3379
3 Ba 0.5000 0.4732 0.9806
4 Ga 0.0000 0.3394 0.6497
5 Bi 0.0000 0.4082 0.2523
6 Bi 0.5000 0.2128 0.7236

Computed properties:
E   -2.87 eV/atom
E_form   -2.81 eV/f.u.
ρ   5.5 g cm⁻³
N(E_F)   3.9 states/eV/cell



Material: KRb2Zn2F7
Method: DFT, GGA-PBE
State: relaxed

a b c (Å): 4.1807 4.1807 22.1107
angles (deg): 90.00 90.00 90.00
Space group I4/mmm (No. 139)
Inequivalent atoms, fractional coordinates:
1 K 0.0000 0.0000 0.0000
2 Rb 0.0000 0.0000 0.1839
3 Zn 0.0000 0.0000 0.4069
4 F 0.0000 0.0000 0.3141
5 F 0.0000 0.0000 0.5000
6 F 0.0000 0.5000 0.0913

Computed properties:
E   -4.14 eV/atom
ρ   4.1 g cm⁻³
N(E_F)   0.0 states/eV/cell
E_form (uncorrected)   -31.023 eV/f.u.



Material: CaCeCd4
Method: DFT, GGA-PBE
State: relaxed

a b c (Å): 5.6445 3.2670 8.8083
angles (deg): 90.00 90.04 90.00
Space group P2/m (No. 10)
Inequivalent atoms, fractional coordinates:
1 Ca 0.0000 0.0000 0.0000
2 Ce 0.5000 0.5000 0.5000
3 Cd 0.9998 0.5000 0.3224
4 Cd 0.5002 0.0000 0.1708

Computed properties:
E above lowest polymorph   254 meV/atom
E   -1.95 eV/atom
E_form   -0.08 eV/f.u.
ρ   6.4 g cm⁻³
N(E_F)   8.9 states/eV/cell



Material: CeYPu
Method: DFT, GGA-PBE
State: relaxed

a b c (Å): 3.4693 3.4693 8.2934
angles (deg): 90.00 90.00 120.00
Space group P3m1 (No. 156)
Inequivalent atoms, fractional coordinates:
1 Ce 0.0000 0.0000 0.0000
2 Y 0.6667 0.3333 0.3514
3 Pu 0.3333 0.6667 0.6971

Computed properties:
E above lowest polymorph   22 meV/atom
E   -8.77 eV/atom
E_form   0.43 eV/f.u.
ρ   9.1 g cm⁻³
N(E_F)   9.6 states/eV/cell



Material: UCd4Pd15
Method: DFT, GGA-PBE
State: relaxed

a b c (Å): 4.0755 4.0755 19.9902
angles (deg): 90.00 90.00 90.00
Space group P4/mmm (No. 123)
Inequivalent atoms, fractional coordinates:
1 U 0.0000 0.0000 0.0000
2 Cd 0.0000 0.0000 0.2038
3 Cd 0.0000 0.0000 0.4008
4 Pd 0.0000 0.5000 0.0989
5 Pd 0.0000 0.5000 0.3023
6 Pd 0.0000 0.5000 0.5000
7 Pd 0.5000 0.5000 0.0000
8 Pd 0.5000 0.5000 0.2014
9 Pd 0.5000 0.5000 0.4019

Computed properties:
E   -4.97 eV/atom
E_form   -6.52 eV/f.u.
ρ   11.4 g cm⁻³
N(E_F)   21.9 states/eV/cell



Material: Sr4MgCl
Method: DFT, GGA-PBE
State: relaxed

a b c (Å): 10.7433 10.7433 10.7433
angles (deg): 90.00 90.00 90.00
Space group F-43m (No. 216)
Inequivalent atoms, fractional coordinates:
1 Sr 0.1240 0.1240 0.3760
2 Mg 0.2500 0.2500 0.7500
3 Cl 0.0000 0.0000 0.0000

Computed properties:
E   -1.57 eV/atom
ρ   2.2 g cm⁻³
N(E_F)   32.7 states/eV/cell
E_form (uncorrected)   0.741 eV/f.u.



Material: Hf2Sc3PaN6
Method: DFT, GGA-PBE
State: relaxed

a b c (Å): 14.2135 3.2547 6.5332
angles (deg): 90.00 102.86 90.00
Space group C2/m (No. 12)
Inequivalent atoms, fractional coordinates:
1 Hf 0.1701 0.0000 0.3408
2 Sc 0.0000 0.5000 0.5000
3 Sc 0.1701 0.0000 0.8307
4 Pa 0.0000 0.5000 0.0000
5 N 0.0031 0.0000 0.2623
6 N 0.1690 0.5000 0.5810
7 N 0.1699 0.5000 0.0923

Computed properties:
E   -10.01 eV/atom
ρ   9.1 g cm⁻³
N(E_F)   7.2 states/eV/cell
E_form (uncorrected)   -21.791 eV/f.u.



Material: Cs2LiIO6
Method: DFT, GGA-PBE
State: relaxed

a b c (Å): 8.9515 8.9515 8.9515
angles (deg): 90.00 90.00 90.00
Space group Fm-3m (No. 225)
Inequivalent atoms, fractional coordinates:
1 Cs 0.2500 0.2500 0.2500
2 Li 0.0000 0.0000 0.0000
3 I 0.0000 0.0000 0.5000
4 O 0.0000 0.0000 0.2880

Computed properties:
E   -4.33 eV/atom
ρ   4.6 g cm⁻³
N(E_F)   30.3 states/eV/cell
E_form (uncorrected)   -8.373 eV/f.u.



Material: KBeAu2
Method: DFT, GGA-PBE
State: relaxed

a b c (Å): 4.3525 4.3525 8.5485
angles (deg): 90.00 90.00 90.00
Space group I-4m2 (No. 119)
Inequivalent atoms, fractional coordinates:
1 K 0.0000 0.0000 0.0000
2 Be 0.0000 0.5000 0.2500
3 Au 0.0000 0.0000 0.5000
4 Au 0.0000 0.5000 0.7500

Computed properties:
E   -2.39 eV/atom
E_form   1.83 eV/f.u.
ρ   9.1 g cm⁻³
N(E_F)   2.3 states/eV/cell



Material: Hf2TiGe
Method: DFT, GGA-PBE
State: relaxed

a b c (Å): 3.1358 3.1358 27.9391
angles (deg): 90.00 90.00 120.00
Space group R-3m (No. 166, hexagonal axes)
Inequivalent atoms, fractional coordinates:
1 Hf 0.0000 0.0000 0.2485
2 Ti 0.0000 0.0000 0.0000
3 Ge 0.0000 0.0000 0.5000

Computed properties:
E   -8.21 eV/atom
E_form   -0.42 eV/f.u.
ρ   10.0 g cm⁻³
N(E_F)   12.7 states/eV/cell



Material: PRh2W
Method: DFT, GGA-PBE
State: relaxed

a b c (Å): 5.3979 5.3979 10.9283
angles (deg): 90.00 90.00 90.00
Space group I-42d (No. 122)
Inequivalent atoms, fractional coordinates:
1 P 0.0000 0.0000 0.0000
2 Rh 0.2211 0.2500 0.1250
3 W 0.0000 0.0000 0.5000

Computed properties:
E   -7.92 eV/atom
E_form   1.38 eV/f.u.
ρ   8.8 g cm⁻³
N(E_F)   4.9 states/eV/cell



> The lowest ρ belongs to which entry?

Sr4MgCl



> Among the records above, which one has the lowest N(E_F)?

KRb2Zn2F7



> Which of these has the highest E?

Sr4MgCl